# 1
{"formula": "Tb5TmHg4", "functional": "PBE-GGA", "state": "optimized geometry", "lattice": [[3.684, 0.000, 0.000], [0.000, 3.684, 0.000], [0.000, 0.000, 20.108]], "species": ["Tb", "Tb", "Tb", "Tb", "Tb", "Tm", "Hg", "Hg", "Hg", "Hg"], "fractional_positions": [[0.000, 0.000, 0.000], [0.000, 0.000, 0.189], [0.000, 0.000, 0.380], [0.000, 0.000, 0.620], [0.000, 0.000, 0.811], [0.500, 0.500, 0.500], [0.500, 0.500, 0.095], [0.500, 0.500, 0.287], [0.500, 0.500, 0.713], [0.500, 0.500, 0.905]], "spacegroup": "No. 123", "density_g_cm3": 10.7, "formation_energy_ev_per_atom": -0.366}

# 2
{"formula": "TbTm5Hg3", "functional": "PBE-GGA", "state": "optimized geometry", "lattice": [[8.970, 0.000, 0.000], [-4.485, 7.768, 0.000], [0.000, 0.000, 6.860]], "species": ["Tb", "Tb", "Tm", "Tm", "Tm", "Tm", "Tm", "Tm", "Tm", "Tm", "Tm", "Tm", "Hg", "Hg", "Hg", "Hg", "Hg", "Hg"], "fractional_positions": [[0.000, 0.000, 0.000], [0.000, 0.000, 0.500], [0.000, 0.335, 0.250], [0.000, 0.665, 0.750], [0.333, 0.667, 0.000], [0.333, 0.667, 0.500], [0.335, 0.000, 0.250], [0.335, 0.335, 0.750], [0.665, 0.000, 0.750], [0.665, 0.665, 0.250], [0.667, 0.333, 0.000], [0.667, 0.333, 0.500], [0.000, 0.333, 0.750], [0.000, 0.667, 0.250], [0.333, 0.000, 0.750], [0.333, 0.333, 0.250], [0.667, 0.000, 0.250], [0.667, 0.667, 0.750]], "spacegroup": "No. 193", "density_g_cm3": 11.2, "formation_energy_ev_per_atom": -0.312}

# 3
{"formula": "TbTm8Hg2", "functional": "PBE-GGA", "state": "optimized geometry", "lattice": [[4.388, -7.309, 0.000], [4.388, 7.309, 0.000], [-1.876, 0.000, 5.098]], "species": ["Tb", "Tm", "Tm", "Tm", "Tm", "Tm", "Tm", "Tm", "Tm", "Hg", "Hg"], "fractional_positions": [[0.000, 0.000, 0.000], [0.091, 0.321, 0.608], [0.225, 0.775, 0.000], [0.321, 0.091, 0.608], [0.397, 0.397, 0.201], [0.603, 0.603, 0.799], [0.679, 0.909, 0.392], [0.775, 0.225, 0.000], [0.909, 0.679, 0.392], [0.307, 0.693, 0.500], [0.693, 0.307, 0.500]], "spacegroup": "No. 12", "density_g_cm3": 9.7, "formation_energy_ev_per_atom": -0.041}

# 4
{"formula": "TbTm2Hg8", "functional": "PBE-GGA", "state": "optimized geometry", "lattice": [[7.968, -2.446, 0.000], [7.968, 2.446, 0.000], [-2.316, 0.000, 6.837]], "species": ["Tb", "Tm", "Tm", "Hg", "Hg", "Hg", "Hg", "Hg", "Hg", "Hg", "Hg"], "fractional_positions": [[0.000, 0.000, 0.000], [0.283, 0.283, 0.344], [0.717, 0.717, 0.656], [0.098, 0.098, 0.459], [0.175, 0.175, 0.905], [0.351, 0.351, 0.808], [0.467, 0.467, 0.269], [0.533, 0.533, 0.731], [0.649, 0.649, 0.192], [0.825, 0.825, 0.095], [0.902, 0.902, 0.541]], "spacegroup": "No. 12", "density_g_cm3": 13.1, "formation_energy_ev_per_atom": -0.295}

# 5
{"formula": "Tb5Tm4Hg", "functional": "PBE-GGA", "state": "optimized geometry", "lattice": [[3.546, 0.000, 0.000], [0.000, 3.546, 0.000], [0.000, 0.000, 23.902]], "species": ["Tb", "Tb", "Tb", "Tb", "Tb", "Tm", "Tm", "Tm", "Tm", "Hg"], "fractional_positions": [[0.000, 0.000, 0.000], [0.000, 0.000, 0.207], [0.000, 0.000, 0.414], [0.000, 0.000, 0.586], [0.000, 0.000, 0.793], [0.500, 0.500, 0.103], [0.500, 0.500, 0.310], [0.500, 0.500, 0.690], [0.500, 0.500, 0.897], [0.500, 0.500, 0.500]], "spacegroup": "No. 123", "density_g_cm3": 9.2, "formation_energy_ev_per_atom": -0.074}

# 6
{"formula": "TbTmHg4", "functional": "PBE-GGA", "state": "optimized geometry", "lattice": [[5.186, 0.000, 0.000], [0.000, 3.885, 0.000], [0.000, 0.000, 14.628]], "species": ["Tb", "Tb", "Tm", "Tm", "Hg", "Hg", "Hg", "Hg", "Hg", "Hg", "Hg", "Hg"], "fractional_positions": [[0.000, 0.000, 0.000], [0.000, 0.500, 0.500], [0.500, 0.000, 0.209], [0.500, 0.500, 0.709], [0.000, 0.000, 0.333], [0.000, 0.000, 0.670], [0.000, 0.500, 0.170], [0.000, 0.500, 0.833], [0.500, 0.000, 0.542], [0.500, 0.000, 0.873], [0.500, 0.500, 0.042], [0.500, 0.500, 0.373]], "spacegroup": "No. 38", "density_g_cm3": 12.7, "formation_energy_ev_per_atom": -0.384, "relative_energy_mev_per_atom": 0}

# 7
{"formula": "TbTm2Hg6", "functional": "PBE-GGA", "state": "optimized geometry", "lattice": [[-2.238, 2.238, 12.779], [2.238, -2.238, 12.779], [2.238, 2.238, -12.779]], "species": ["Tb", "Tm", "Tm", "Hg", "Hg", "Hg", "Hg", "Hg", "Hg"], "fractional_positions": [[0.000, 0.000, 0.000], [0.332, 0.332, 0.000], [0.668, 0.668, 0.000], [0.085, 0.585, 0.500], [0.250, 0.750, 0.500], [0.415, 0.915, 0.500], [0.585, 0.085, 0.500], [0.750, 0.250, 0.500], [0.915, 0.415, 0.500]], "spacegroup": "No. 139", "density_g_cm3": 11.0, "formation_energy_ev_per_atom": -0.145, "relative_energy_mev_per_atom": 237}

# 8
{"formula": "TbTmHg6", "functional": "PBE-GGA", "state": "optimized geometry", "lattice": [[5.004, 0.000, 0.000], [0.000, 6.710, 0.000], [0.000, 0.000, 11.374]], "species": ["Tb", "Tb", "Tm", "Tm", "Hg", "Hg", "Hg", "Hg", "Hg", "Hg", "Hg", "Hg", "Hg", "Hg", "Hg", "Hg"], "fractional_positions": [[0.000, 0.000, 0.000], [0.000, 0.500, 0.500], [0.500, 0.000, 0.682], [0.500, 0.500, 0.182], [0.000, 0.000, 0.512], [0.000, 0.246, 0.255], [0.000, 0.254, 0.755], [0.000, 0.500, 0.012], [0.000, 0.746, 0.755], [0.000, 0.754, 0.255], [0.500, 0.000, 0.172], [0.500, 0.242, 0.426], [0.500, 0.258, 0.926], [0.500, 0.500, 0.672], [0.500, 0.742, 0.926], [0.500, 0.758, 0.426]], "spacegroup": "No. 38", "density_g_cm3": 13.3, "formation_energy_ev_per_atom": -0.329, "relative_energy_mev_per_atom": 0}

# 9
{"formula": "Tb2TmHg2", "functional": "PBE-GGA", "state": "optimized geometry", "lattice": [[3.747, 0.000, 0.000], [0.000, 5.260, 0.000], [-1.886, 0.000, 13.586]], "species": ["Tb", "Tb", "Tb", "Tb", "Tm", "Tm", "Hg", "Hg", "Hg", "Hg"], "fractional_positions": [[0.046, 0.250, 0.094], [0.235, 0.250, 0.471], [0.765, 0.750, 0.529], [0.954, 0.750, 0.906], [0.146, 0.750, 0.293], [0.854, 0.250, 0.707], [0.357, 0.750, 0.713], [0.451, 0.250, 0.899], [0.549, 0.750, 0.101], [0.643, 0.250, 0.287]], "spacegroup": "No. 11", "density_g_cm3": 11.0, "formation_energy_ev_per_atom": -0.379, "relative_energy_mev_per_atom": 0}

# 10
{"formula": "TbTmZnHg", "functional": "PBE-GGA", "state": "optimized geometry", "lattice": [[7.280, 0.000, 0.000], [0.000, 7.280, 0.000], [0.000, 0.000, 7.280]], "species": ["Tb", "Tb", "Tb", "Tb", "Tm", "Tm", "Tm", "Tm", "Zn", "Zn", "Zn", "Zn", "Hg", "Hg", "Hg", "Hg"], "fractional_positions": [[0.000, 0.000, 0.000], [0.000, 0.500, 0.500], [0.500, 0.000, 0.500], [0.500, 0.500, 0.000], [0.000, 0.000, 0.500], [0.000, 0.500, 0.000], [0.500, 0.000, 0.000], [0.500, 0.500, 0.500], [0.250, 0.250, 0.250], [0.250, 0.750, 0.750], [0.750, 0.250, 0.750], [0.750, 0.750, 0.250], [0.250, 0.250, 0.750], [0.250, 0.750, 0.250], [0.750, 0.250, 0.250], [0.750, 0.750, 0.750]], "spacegroup": "No. 216", "density_g_cm3": 10.2, "formation_energy_ev_per_atom": -0.396, "relative_energy_mev_per_atom": 19}

# 11
{"formula": "TbTmZnHg", "functional": "PBE-GGA", "state": "optimized geometry", "lattice": [[3.587, 0.000, 0.000], [0.000, 3.587, 0.000], [0.000, 0.000, 7.410]], "species": ["Tb", "Tm", "Zn", "Hg"], "fractional_positions": [[0.000, 0.000, 0.000], [0.000, 0.000, 0.533], [0.500, 0.500, 0.758], [0.500, 0.500, 0.276]], "spacegroup": "No. 99", "density_g_cm3": 10.3, "formation_energy_ev_per_atom": -0.415, "relative_energy_mev_per_atom": 0}

# 12
{"formula": "Tb5YHg2", "functional": "PBE-GGA", "state": "optimized geometry", "lattice": [[3.685, 0.000, 0.000], [0.000, 10.354, 0.000], [0.000, 0.000, 12.295]], "species": ["Tb", "Tb", "Tb", "Tb", "Tb", "Tb", "Tb", "Tb", "Tb", "Tb", "Y", "Y", "Hg", "Hg", "Hg", "Hg"], "fractional_positions": [[0.000, 0.000, 0.000], [0.000, 0.278, 0.363], [0.000, 0.278, 0.637], [0.000, 0.722, 0.363], [0.000, 0.722, 0.637], [0.500, 0.222, 0.137], [0.500, 0.222, 0.863], [0.500, 0.500, 0.500], [0.500, 0.778, 0.137], [0.500, 0.778, 0.863], [0.000, 0.500, 0.000], [0.500, 0.000, 0.500], [0.000, 0.000, 0.268], [0.000, 0.000, 0.732], [0.500, 0.500, 0.232], [0.500, 0.500, 0.768]], "spacegroup": "No. 71", "density_g_cm3": 9.1, "formation_energy_ev_per_atom": -0.163}

# 13
{"formula": "TbYHg4", "functional": "PBE-GGA", "state": "optimized geometry", "lattice": [[3.911, 0.000, 0.000], [0.000, 5.198, 0.000], [-1.927, 0.000, 7.360]], "species": ["Tb", "Y", "Hg", "Hg", "Hg", "Hg"], "fractional_positions": [[0.000, 0.000, 0.000], [0.794, 0.500, 0.581], [0.130, 0.500, 0.250], [0.332, 0.000, 0.662], [0.462, 0.500, 0.919], [0.664, 0.000, 0.331]], "spacegroup": "No. 6", "density_g_cm3": 11.7, "formation_energy_ev_per_atom": -0.406, "relative_energy_mev_per_atom": 0}

# 14
{"formula": "Tb2Y8Hg", "functional": "PBE-GGA", "state": "optimized geometry", "lattice": [[9.707, -2.784, 0.000], [9.707, 2.784, 0.000], [-0.589, 0.000, 6.391]], "species": ["Tb", "Tb", "Y", "Y", "Y", "Y", "Y", "Y", "Y", "Y", "Hg"], "fractional_positions": [[0.243, 0.243, 0.333], [0.757, 0.757, 0.667], [0.044, 0.044, 0.264], [0.156, 0.156, 0.800], [0.341, 0.341, 0.874], [0.423, 0.423, 0.395], [0.577, 0.577, 0.605], [0.659, 0.659, 0.126], [0.844, 0.844, 0.200], [0.956, 0.956, 0.736], [0.500, 0.500, 0.000]], "spacegroup": "No. 12", "density_g_cm3": 5.9, "formation_energy_ev_per_atom": -0.056}

# 15
{"formula": "TbY2Hg3", "functional": "PBE-GGA", "state": "optimized geometry", "lattice": [[3.738, 0.000, 0.000], [0.000, 3.738, 0.000], [0.000, 0.000, 11.172]], "species": ["Tb", "Y", "Y", "Hg", "Hg", "Hg"], "fractional_positions": [[0.000, 0.000, 0.000], [0.000, 0.000, 0.333], [0.000, 0.000, 0.667], [0.500, 0.500, 0.167], [0.500, 0.500, 0.500], [0.500, 0.500, 0.833]], "spacegroup": "No. 123", "density_g_cm3": 10.0, "formation_energy_ev_per_atom": -0.500}

# 16
{"formula": "Tb3Y2Hg4", "functional": "PBE-GGA", "state": "optimized geometry", "lattice": [[3.471, -9.075, 0.000], [3.471, 9.075, 0.000], [0.000, 0.000, 8.023]], "species": ["Tb", "Tb", "Tb", "Tb", "Tb", "Tb", "Y", "Y", "Y", "Y", "Hg", "Hg", "Hg", "Hg", "Hg", "Hg", "Hg", "Hg"], "fractional_positions": [[0.000, 0.000, 0.000], [0.012, 0.488, 0.250], [0.488, 0.012, 0.750], [0.500, 0.500, 0.500], [0.512, 0.988, 0.250], [0.988, 0.512, 0.750], [0.095, 0.905, 0.414], [0.405, 0.595, 0.914], [0.595, 0.405, 0.086], [0.905, 0.095, 0.586], [0.165, 0.835, 0.035], [0.183, 0.317, 0.250], [0.317, 0.183, 0.750], [0.335, 0.665, 0.535], [0.665, 0.335, 0.465], [0.683, 0.817, 0.250], [0.817, 0.683, 0.750], [0.835, 0.165, 0.965]], "spacegroup": "No. 64", "density_g_cm3": 9.6, "formation_energy_ev_per_atom": -0.334}

# 17
{"formula": "Tb2YHg6", "functional": "PBE-GGA", "state": "optimized geometry", "lattice": [[8.581, 0.000, 0.000], [-4.291, 7.432, 0.000], [0.000, 0.000, 3.453]], "species": ["Tb", "Tb", "Y", "Hg", "Hg", "Hg", "Hg", "Hg", "Hg"], "fractional_positions": [[0.333, 0.667, 0.000], [0.667, 0.333, 0.000], [0.000, 0.000, 0.000], [0.000, 0.333, 0.500], [0.000, 0.667, 0.500], [0.333, 0.000, 0.500], [0.333, 0.333, 0.500], [0.667, 0.000, 0.500], [0.667, 0.667, 0.500]], "spacegroup": "No. 191", "density_g_cm3": 12.1, "formation_energy_ev_per_atom": -0.398}

# 18
{"formula": "Tb2Y2Hg3", "functional": "PBE-GGA", "state": "optimized geometry", "lattice": [[9.008, 0.000, 0.000], [0.000, 5.217, 0.000], [-2.987, 0.000, 8.459]], "species": ["Tb", "Tb", "Tb", "Tb", "Y", "Y", "Y", "Y", "Hg", "Hg", "Hg", "Hg", "Hg", "Hg"], "fractional_positions": [[0.120, 0.000, 0.363], [0.380, 0.500, 0.637], [0.620, 0.500, 0.363], [0.880, 0.000, 0.637], [0.128, 0.500, 0.882], [0.372, 0.000, 0.118], [0.628, 0.000, 0.882], [0.872, 0.500, 0.118], [0.000, 0.500, 0.500], [0.248, 0.500, 0.245], [0.252, 0.000, 0.755], [0.500, 0.000, 0.500], [0.748, 0.000, 0.245], [0.752, 0.500, 0.755]], "spacegroup": "No. 12", "density_g_cm3": 9.2, "formation_energy_ev_per_atom": -0.330}

# 19
{"formula": "Tb4Y3Hg4", "functional": "PBE-GGA", "state": "optimized geometry", "lattice": [[-4.493, 4.493, 4.493], [4.493, -4.493, 4.493], [4.493, 4.493, -4.493]], "species": ["Tb", "Tb", "Tb", "Tb", "Y", "Y", "Y", "Hg", "Hg", "Hg", "Hg"], "fractional_positions": [[0.000, 0.000, 0.710], [0.000, 0.710, 0.000], [0.290, 0.290, 0.290], [0.710, 0.000, 0.000], [0.000, 0.500, 0.500], [0.500, 0.000, 0.500], [0.500, 0.500, 0.000], [0.000, 0.000, 0.354], [0.000, 0.354, 0.000], [0.354, 0.000, 0.000], [0.646, 0.646, 0.646]], "spacegroup": "No. 217", "density_g_cm3": 7.8, "formation_energy_ev_per_atom": 0.063}

# 20
{"formula": "TbY2Hg4", "functional": "PBE-GGA", "state": "optimized geometry", "lattice": [[2.551, 1.473, 8.706], [-2.551, 1.473, 8.706], [0.000, -2.946, 8.706]], "species": ["Tb", "Y", "Y", "Hg", "Hg", "Hg", "Hg"], "fractional_positions": [[0.000, 0.000, 0.000], [0.244, 0.244, 0.244], [0.756, 0.756, 0.756], [0.126, 0.126, 0.126], [0.376, 0.376, 0.376], [0.624, 0.624, 0.624], [0.874, 0.874, 0.874]], "spacegroup": "No. 166", "density_g_cm3": 9.6, "formation_energy_ev_per_atom": -0.346}